LiTbEuPt | PBE | relaxed

Unit cell a=7.162 b=7.162 c=7.162 alpha=90.00 beta=90.00 gamma=90.00
Space group F-43m (No. 216)
Unique sites:
1 Li 0.000 0.000 0.000 x4
2 Tb 0.250 0.250 0.750 x4
3 Eu 0.250 0.250 0.250 x4
4 Pt 0.000 0.000 0.500 x4

ΔE_f   -553 meV/atom
Crystal system   cubic
N(E_F)   4.08 states/eV/f.u.
Calculated total energy   -100.28 eV for the cell shown
Magnetization   7.0 μB per formula unit

***

LiEuTlPt | PBE | relaxed

Unit cell a=7.021 b=7.021 c=7.021 alpha=90.00 beta=90.00 gamma=90.00
Space group F-43m (No. 216)
Unique sites:
1 Li 0.000 0.000 0.000 x4
2 Eu 0.250 0.250 0.750 x4
3 Tl 0.250 0.250 0.250 x4
4 Pt 0.000 0.000 0.500 x4

ΔE_f   -462 meV/atom
Crystal system   cubic
N(E_F)   7.89 states/eV/f.u.
Calculated total energy   -89.78 eV for the cell shown
Magnetization   7.2 μB per formula unit

***

LiEu2Pu | PBE | relaxed

Unit cell a=3.700 b=3.700 c=9.636 alpha=90.00 beta=90.00 gamma=90.00
Space group P4/mmm (No. 123)
Unique sites:
1 Li 0.000 0.000 0.000 x1
2 Eu 0.500 0.500 0.235 x2
3 Pu 0.000 0.000 0.500 x1

ΔE_f   187 meV/atom
Crystal system   tetragonal
N(E_F)   14.43 states/eV/f.u.
Calculated total energy   -36.05 eV for the cell shown
Magnetization   21.8 μB per formula unit

***

LiEuPuRu | PBE | relaxed

Unit cell a=7.014 b=7.014 c=7.014 alpha=90.00 beta=90.00 gamma=90.00
Space group F-43m (No. 216)
Unique sites:
1 Li 0.000 0.000 0.000 x4
2 Eu 0.250 0.250 0.750 x4
3 Pu 0.250 0.250 0.250 x4
4 Ru 0.000 0.000 0.500 x4

ΔE_f   116 meV/atom
Crystal system   cubic
N(E_F)   11.72 states/eV/f.u.
Calculated total energy   -141.33 eV for the cell shown
Magnetization   11.9 μB per formula unit

***

RbLiEu2 | PBE | relaxed

Unit cell a=4.082 b=4.082 c=11.358 alpha=90.00 beta=90.00 gamma=90.00
Space group P4/mmm (No. 123)
Unique sites:
1 Rb 0.000 0.000 0.000 x1
2 Li 0.000 0.000 0.500 x1
3 Eu 0.500 0.500 0.326 x2

ΔE_f   163 meV/atom
Polymorph energy (0 for the lowest one)   0.0 meV/atom
Crystal system   tetragonal
N(E_F)   21.63 states/eV/f.u.
Calculated total energy   -22.78 eV for the cell shown
Magnetization   15.3 μB per formula unit

***

RbLiEu2 | PBE | relaxed

Unit cell a=3.9633 b=3.9633 c=40.7143 alpha=90.00 beta=90.00 gamma=120.00
Space group R-3m (No. 166, hexagonal axes)
Unique sites:
1 Rb 0.0000 0.0000 0.0000 x3
2 Li 0.0000 0.0000 0.5000 x3
3 Eu 0.0000 0.0000 0.1002 x6

ΔE_f   250 meV/atom
Polymorph energy (0 for the lowest one)   86.4 meV/atom
Crystal system   trigonal
N(E_F)   3.83 states/eV/f.u.
Calculated total energy   -67.29 eV for the cell shown
Magnetization   15.5 μB per formula unit

***

RbLi2Eu | PBE | relaxed

Unit cell a=6.446 b=6.446 c=3.919 alpha=90.00 beta=90.00 gamma=90.00
Space group P4/mmm (No. 123)
Unique sites:
1 Rb 0.000 0.000 0.000 x1
2 Li 0.000 0.500 0.500 x2
3 Eu 0.500 0.500 0.000 x1

ΔE_f   215 meV/atom
Crystal system   tetragonal
N(E_F)   14.55 states/eV/f.u.
Calculated total energy   -14.21 eV for the cell shown
Magnetization   7.9 μB per formula unit

***

LiEuRh | PBE | relaxed

Unit cell a=4.4966 b=4.4966 c=3.4435 alpha=90.00 beta=90.00 gamma=120.00
Space group P-6m2 (No. 187)
Unique sites:
1 Li 0.0000 0.0000 0.0000 x1
2 Eu 0.6667 0.3333 0.5000 x1
3 Rh 0.3333 0.6667 0.0000 x1

ΔE_f   -186 meV/atom
Polymorph energy (0 for the lowest one)   0.0 meV/atom
Crystal system   hexagonal
N(E_F)   9.46 states/eV/f.u.
Calculated total energy   -20.10 eV for the cell shown
Magnetization   7.0 μB per formula unit

***

LiEu3Rh | PBE | relaxed

Unit cell a=5.645 b=5.645 c=5.645 alpha=90.00 beta=90.00 gamma=90.00
Space group Pm-3m (No. 221)
Unique sites:
1 Li 0.000 0.000 0.000 x1
2 Eu 0.000 0.500 0.500 x3
3 Rh 0.500 0.500 0.500 x1

ΔE_f   -157 meV/atom
Crystal system   cubic
N(E_F)   27.02 states/eV/f.u.
Calculated total energy   -40.87 eV for the cell shown
Magnetization   21.3 μB per formula unit

***

LiEuRh | PBE | relaxed

Unit cell a=3.455 b=3.455 c=9.933 alpha=90.00 beta=90.00 gamma=90.00
Space group I4mm (No. 107)
Unique sites:
1 Li 0.000 0.000 0.000 x2
2 Eu 0.000 0.000 0.284 x2
3 Rh 0.000 0.000 0.603 x2

ΔE_f   -170 meV/atom
Polymorph energy (0 for the lowest one)   15.8 meV/atom
Crystal system   tetragonal
N(E_F)   7.91 states/eV/f.u.
Calculated total energy   -40.10 eV for the cell shown
Magnetization   7.1 μB per formula unit

***

LiEuRh4 | PBE | relaxed

Unit cell a=7.473 b=7.473 c=7.473 alpha=90.00 beta=90.00 gamma=90.00
Space group F-43m (No. 216)
Unique sites:
1 Li 0.000 0.000 0.000 x4
2 Eu 0.250 0.250 0.250 x4
3 Rh 0.126 0.126 0.626 x16

ΔE_f   -230 meV/atom
Crystal system   cubic
N(E_F)   11.31 states/eV/f.u.
Calculated total energy   -171.89 eV for the cell shown
Magnetization   5.2 μB per formula unit

***

LiEu2Rh | PBE | relaxed

Unit cell a=3.567 b=3.567 c=8.411 alpha=90.00 beta=90.00 gamma=90.00
Space group P4/mmm (No. 123)
Unique sites:
1 Li 0.000 0.000 0.000 x1
2 Eu 0.500 0.500 0.298 x2
3 Rh 0.000 0.000 0.500 x1

ΔE_f   -213 meV/atom
Crystal system   tetragonal
N(E_F)   15.19 states/eV/f.u.
Calculated total energy   -30.67 eV for the cell shown
Magnetization   14.2 μB per formula unit